[1]
# PBE Ta2TiAl, optimized geometry
data_Ta2TiAl
_chemical_formula_sum 'Ta8 Ti4 Al4'
_symmetry_space_group_name_H-M 'I -4 2 d'
_symmetry_Int_Tables_number 122
_symmetry_space_group_name_Hall 'I -4 2bw'
_cell_length_a 7.366
_cell_length_b 7.366
_cell_length_c 5.440
_cell_angle_alpha 90.00
_cell_angle_beta 90.00
_cell_angle_gamma 90.00
loop_
_atom_site_label
_atom_site_fract_x
_atom_site_fract_y
_atom_site_fract_z
Ta1 0.241 0.250 0.125
Ti1 0.000 0.000 0.500
Al1 0.000 0.000 0.000
# energy: -0.611 Ry/atom
# Fermi-level density of states: 1.07 states/eV/atom
# ΔE_f: 2.081 eV/f.u.

---

[2]
# PBE RbPuPb2O8, optimized geometry
data_RbPuPb2O8
_chemical_formula_sum 'Rb1 Pu1 Pb2 O8'
_symmetry_space_group_name_H-M 'P 1 2/m 1'
_symmetry_Int_Tables_number 10
_cell_length_a 5.138
_cell_length_b 8.210
_cell_length_c 5.542
_cell_angle_alpha 90.00
_cell_angle_beta 91.83
_cell_angle_gamma 90.00
loop_
_symmetry_equiv_pos_as_xyz
'x,y,z'
'-x,-y,-z'
'-x,y,-z'
'x,-y,z'
loop_
_atom_site_label
_atom_site_fract_x
_atom_site_fract_y
_atom_site_fract_z
Rb1 0.000 0.000 0.000
Pu1 0.000 0.500 0.000
Pb1 0.500 0.298 0.500
O1 0.127 0.000 0.500
O2 0.189 0.330 0.846
O3 0.286 0.500 0.315
# energy: -0.489 Ry/atom
# Fermi-level density of states: 0.59 states/eV/atom
# formation energy (no corrections): -1.454 eV per atom

---

[3]
# PBE MnPOs2, optimized geometry
data_MnPOs2
_chemical_formula_sum 'Mn1 P1 Os2'
_symmetry_space_group_name_H-M 'P 4 m m'
_symmetry_Int_Tables_number 99
_cell_length_a 2.787
_cell_length_b 2.787
_cell_length_c 6.467
_cell_angle_alpha 90.00
_cell_angle_beta 90.00
_cell_angle_gamma 90.00
loop_
_symmetry_equiv_pos_as_xyz
'x,y,z'
'-y,x,z'
'-x,-y,z'
'y,-x,z'
'-x,y,z'
'y,x,z'
'x,-y,z'
'-y,-x,z'
loop_
_atom_site_label
_atom_site_fract_x
_atom_site_fract_y
_atom_site_fract_z
Mn1 0.000 0.000 0.000
P1 0.500 0.500 0.817
Os1 0.000 0.000 0.571
Os2 0.500 0.500 0.284
# energy: -0.686 Ry/atom
# Fermi-level density of states: 0.60 states/eV/atom
# ΔE_f: -0.274 eV/f.u.

---

[4]
# PBE BaPtW, optimized geometry
data_BaPtW
_chemical_formula_sum 'Ba4 Pt4 W4'
_symmetry_space_group_name_H-M 'C 1 m 1'
_symmetry_Int_Tables_number 8
_cell_length_a 12.446
_cell_length_b 4.165
_cell_length_c 7.800
_cell_angle_alpha 90.00
_cell_angle_beta 126.75
_cell_angle_gamma 90.00
loop_
_symmetry_equiv_pos_as_xyz
'x,y,z'
'x,-y,z'
'x+1/2,y+1/2,z'
'x+1/2,-y+1/2,z'
loop_
_atom_site_label
_atom_site_fract_x
_atom_site_fract_y
_atom_site_fract_z
Ba1 0.000 0.000 0.000
Ba2 0.156 0.000 0.571
Pt1 0.323 0.500 0.406
Pt2 0.476 0.000 0.649
W1 0.211 0.500 0.002
W2 0.347 0.000 0.197
# energy: -0.496 Ry/atom
# Fermi-level density of states: 1.03 states/eV/atom
# offset from the most stable computed form: 0.567 eV/f.u.
# ΔE_f: 0.689 eV/f.u.